[1]
GGA-PBE HgBiP2, optimized geometry; E_form = 0.328 eV per atom; DOS(E_F) = 7.96 states/eV per cell; symmetry = I-42d, No. 122; energy relative to the lowest polymorph listed for this composition = 0 meV/atom
1.0
-3.069 3.069 6.228
3.069 -3.069 6.228
3.069 3.069 -6.228
Hg Bi P
2 2 4
Cartesian
0.000 0.000 0.000 Hg
0.000 3.069 3.114 Hg
3.069 0.000 3.114 Bi
0.000 0.000 6.228 Bi
4.604 1.424 -1.557 P
1.424 1.535 1.557 P
-1.535 1.645 4.671 P
1.645 1.535 7.785 P

[2]
GGA-PBE AcPrErCd, optimized geometry; E_form = -0.127 eV per atom; DOS(E_F) = 5.43 states/eV per cell; symmetry = P4mm, No. 99; energy relative to the lowest polymorph listed for this composition = 0 meV/atom
1.0
3.808 0.000 0.000
0.000 3.808 0.000
0.000 0.000 9.062
Ac Pr Er Cd
1 1 1 1
Cartesian
0.000 0.000 0.000 Ac
1.904 1.904 6.355 Pr
1.904 1.904 2.565 Er
0.000 0.000 4.292 Cd

[3]
GGA-PBE NdGa2PbAu5, optimized geometry; E_form = -0.374 eV per atom; DOS(E_F) = 4.42 states/eV per cell; symmetry = P4/mmm, No. 123
1.0
4.582 0.000 0.000
0.000 4.582 0.000
0.000 0.000 8.989
Nd Ga Pb Au
1 2 1 5
Cartesian
0.000 0.000 0.000 Nd
2.291 2.291 1.241 Ga
2.291 2.291 7.749 Ga
0.000 0.000 4.495 Pb
0.000 2.291 2.416 Au
0.000 2.291 6.573 Au
2.291 0.000 2.416 Au
2.291 0.000 6.573 Au
2.291 2.291 4.495 Au

[4]
GGA-PBE Sc2MoPt, optimized geometry; E_form = -0.256 eV per atom; DOS(E_F) = 2.86 states/eV per cell; symmetry = P4mm, No. 99
1.0
2.919 0.000 0.000
0.000 2.919 0.000
0.000 0.000 8.858
Sc Mo Pt
2 1 1
Cartesian
0.000 0.000 0.000 Sc
1.460 1.460 2.824 Sc
0.000 0.000 4.973 Mo
1.460 1.460 6.856 Pt

[5]
GGA-PBE GePHAu2, optimized geometry; E = -17.86 eV for the cell shown; DOS(E_F) = 1.02 states/eV per cell; symmetry = P4/mmm, No. 123
1.0
3.912 0.000 0.000
0.000 3.912 0.000
0.000 0.000 5.231
Ge P H Au
1 1 1 2
Cartesian
0.000 0.000 0.000 Ge
1.956 1.956 0.000 P
0.000 0.000 2.615 H
0.000 1.956 2.615 Au
1.956 0.000 2.615 Au

[6]
GGA-PBE HgIrAu2, optimized geometry; E_form = 0.328 eV per atom; DOS(E_F) = 3.42 states/eV per cell; symmetry = P4mm, No. 99
1.0
2.950 0.000 0.000
0.000 2.950 0.000
0.000 0.000 8.225
Hg Ir Au
1 1 2
Cartesian
0.000 0.000 0.000 Hg
1.475 1.475 1.998 Ir
0.000 0.000 3.906 Au
1.475 1.475 5.986 Au